1.
{
  "formula": "HoAlP2Rh5",
  "functional": "PBE",
  "state": "relaxed",
  "sg": "P4/mmm, No. 123",
  "rho_g_cm3": 8.16,
  "formation_energy_ev_per_atom": -0.78,
  "lattice_angstrom": [[-0.7822, 3.5868, -1.7207], [-0.3628, -1.8106, -3.6094], [-9.2949, -1.2726, 1.5728]],
  "species": ["Rh", "Rh", "Rh", "Rh", "Rh", "P", "P", "Ho", "Al"],
  "fractional_positions": [[0.5000, 0.0000, 0.8415], [0.0000, 0.5000, 0.8415], [0.5000, 0.0000, 0.1585], [0.0000, 0.5000, 0.1585], [0.5000, 0.5000, 0.5000], [0.5000, 0.5000, 0.2639], [0.5000, 0.5000, 0.7361], [0.0000, 0.0000, 0.5000], [0.0000, 0.0000, 0.0000]]
}

2.
{
  "formula": "K2ReSb",
  "functional": "PBE",
  "state": "relaxed",
  "sg": "P2/m, No. 10",
  "e_form_raw_ev_per_atom": 0.95,
  "rho_g_cm3": 6.44,
  "lattice_angstrom": [[5.7624, 0.0000, 0.0000], [0.0000, 3.0062, 0.0273], [0.0000, 2.8375, 5.7776]],
  "species": ["K", "K", "Sb", "Re"],
  "fractional_positions": [[0.0000, 0.0009, 0.0036], [0.0000, 0.4991, 0.4964], [0.5000, 0.7500, 0.7500], [0.5000, 0.2500, 0.2500]]
}

3.
{
  "formula": "Nd3Sm7Ho2",
  "functional": "PBE",
  "state": "relaxed",
  "sg": "R-3m, No. 166",
  "e_above_lowest_polymorph_ev_per_atom": 0.1940,
  "rho_g_cm3": 7.04,
  "formation_energy_ev_per_atom": 0.28,
  "lattice_angstrom": [[6.4456, 0.0000, 1.4173], [3.0670, 5.6691, 1.4173], [0.7514, 0.4478, 11.9481]],
  "species": ["Sm", "Sm", "Sm", "Sm", "Sm", "Sm", "Sm", "Ho", "Ho", "Nd", "Nd", "Nd"],
  "fractional_positions": [[0.5000, 0.5000, 0.5000], [0.9194, 0.4147, 0.2512], [0.4147, 0.4147, 0.2512], [0.5853, 0.0806, 0.7488], [0.0806, 0.5853, 0.7488], [0.5853, 0.5853, 0.7488], [0.4147, 0.9194, 0.2512], [0.6663, 0.6663, 0.0012], [0.3337, 0.3337, 0.9988], [0.1536, 0.1536, 0.5392], [0.0000, 0.0000, 0.0000], [0.8464, 0.8464, 0.4608]]
}

4.
{
  "formula": "K2FeAs",
  "functional": "PBE",
  "state": "relaxed",
  "sg": "R-3m, No. 166",
  "rho_g_cm3": 3.26,
  "formation_energy_ev_per_atom": 0.77,
  "lattice_angstrom": [[11.4901, -0.0472, -0.0276], [11.0314, 3.2146, -0.0276], [11.0314, 1.5515, 2.8156]],
  "species": ["As", "Fe", "K", "K"],
  "fractional_positions": [[0.2500, 0.2500, 0.2500], [0.7500, 0.7500, 0.7500], [0.9956, 0.9956, 0.9956], [0.5044, 0.5044, 0.5044]]
}